DFT (GGA-PBE) results for crystalline La2Re at its relaxed geometry.

## Properties
**Space-group type**: Cmcm
**Energy relative to the lowest polymorph listed for this composition**: 0.099 eV per atom
**DOS at the Fermi energy**: 7.0 states/eV/cell
**Crystal system**: orthorhombic
**Energy of formation from the pure elements**: 0.26 eV per atom

Cell lengths 7.5201, 7.5201, 4.9769 Å; angles 90.00, 90.00, 141.94 degrees
Closest atoms and distances in Å follow each position.
Element x y z (fractional)
La: 0.9323 0.6674 0.2500  1 Re 2.77
La: 0.0677 0.3326 0.7500  1 Re 2.77
La: 0.6674 0.9323 0.2500  1 Re 2.77
La: 0.3326 0.0677 0.7500  1 Re 2.77
Re: 0.6146 0.6146 0.7500  2 Re 2.73, 2 La 2.77
Re: 0.3854 0.3854 0.2500  2 Re 2.73, 2 La 2.77